1.
Here is crystalline Pr2CdAg at its relaxed geometry from Alexandria. Energies are from PBE.

Unit cell a=7.6716 b=7.6716 c=7.6716 alpha=90.00 beta=90.00 gamma=90.00
Last column: nearest neighbours and their distance in Å.
Positions (direct):
Pr 0.2500 0.2500 0.2500  4 Ag 3.32, 4 Cd 3.32
Pr 0.2500 0.2500 0.7500  4 Cd 3.32, 4 Ag 3.32
Pr 0.2500 0.7500 0.2500  4 Cd 3.32, 4 Ag 3.32
Pr 0.2500 0.7500 0.7500  4 Ag 3.32, 4 Cd 3.32
Pr 0.7500 0.2500 0.2500  4 Cd 3.32, 4 Ag 3.32
Pr 0.7500 0.2500 0.7500  4 Ag 3.32, 4 Cd 3.32
Pr 0.7500 0.7500 0.2500  4 Ag 3.32, 4 Cd 3.32
Pr 0.7500 0.7500 0.7500  4 Cd 3.32, 4 Ag 3.32
Cd 0.0000 0.0000 0.0000  8 Pr 3.32
Cd 0.0000 0.5000 0.5000  8 Pr 3.32
Cd 0.5000 0.0000 0.5000  8 Pr 3.32
Cd 0.5000 0.5000 0.0000  8 Pr 3.32
Ag 0.0000 0.0000 0.5000  8 Pr 3.32
Ag 0.0000 0.5000 0.0000  8 Pr 3.32
Ag 0.5000 0.0000 0.0000  8 Pr 3.32
Ag 0.5000 0.5000 0.5000  8 Pr 3.32

Results
Offset from the most stable computed form = 0.263 kcal/mol of atoms
Raw total energy = -3.60 eV/atom
Energy of formation = -0.27 eV per atom
Total magnetic moment = 0.101 μB per atom
Space group = Fm-3m, No. 225

=====

2.
Here is crystalline AcDy2Bi at its relaxed geometry from Alexandria. Energies are from PBE.

Unit cell a=4.0992 b=4.0992 c=29.9442 alpha=90.00 beta=90.00 gamma=120.00
Last column: nearest neighbours and their distance in Å.
Positions (direct):
Ac 0.0000 0.0000 0.0000  6 Dy 3.83, 6 Ac 4.10
Ac 0.3333 0.6667 0.6667  6 Dy 3.83, 6 Ac 4.10
Ac 0.6667 0.3333 0.3333  6 Dy 3.83, 6 Ac 4.10
Dy 0.0000 0.0000 0.2328  3 Bi 3.09
Dy 0.0000 0.0000 0.7672  3 Bi 3.09
Dy 0.3333 0.6667 0.4339  3 Bi 3.09
Dy 0.3333 0.6667 0.8994  3 Bi 3.09
Dy 0.6667 0.3333 0.1006  3 Bi 3.09
Dy 0.6667 0.3333 0.5661  3 Bi 3.09
Bi 0.0000 0.0000 0.5000  6 Dy 3.09
Bi 0.3333 0.6667 0.1667  6 Dy 3.09
Bi 0.6667 0.3333 0.8333  6 Dy 3.09

Results
Offset from the most stable computed form = 2.893 kcal/mol of atoms
Raw total energy = -4.51 eV/atom
Energy of formation = -0.21 eV per atom
Total magnetic moment = 0.000 μB per atom
Space group = R-3m, No. 166

=====

3.
Here is crystalline PrCdCu3 at its relaxed geometry from Alexandria. Energies are from PBE.

Unit cell a=12.4933 b=12.4933 c=4.1233 alpha=90.00 beta=90.00 gamma=162.32
Last column: nearest neighbours and their distance in Å.
Positions (direct):
Pr 0.0789 0.9211 0.7500  12 Cu 3.07-3.25
Pr 0.9211 0.0789 0.2500  12 Cu 3.07-3.25
Cd 0.2073 0.7927 0.2500  7 Cu 2.70-2.88
Cd 0.7927 0.2073 0.7500  7 Cu 2.70-2.88
Cu 0.3167 0.6833 0.2500  2 Cu 2.47, 1 Cd 2.70
Cu 0.3718 0.6282 0.7500  3 Cu 2.47-2.49, 2 Cd 2.74
Cu 0.4727 0.5273 0.7500  3 Cu 2.46-2.49
Cu 0.5273 0.4727 0.2500  3 Cu 2.46-2.49
Cu 0.6282 0.3718 0.2500  3 Cu 2.47-2.49, 2 Cd 2.74
Cu 0.6833 0.3167 0.7500  2 Cu 2.47, 1 Cd 2.70

Results
Raw total energy = -3.68 eV/atom
Energy of formation = -0.08 eV per atom
Total magnetic moment = 0.000 μB per atom
Space group = Cmcm, No. 63

=====

4.
Here is crystalline GeHN at its relaxed geometry from Alexandria. Energies are from PBE.

Unit cell a=4.5913 b=3.2504 c=5.7098 alpha=90.00 beta=109.97 gamma=90.00
Last column: nearest neighbours and their distance in Å.
Positions (direct):
Ge 0.2089 0.2500 0.3900  3 N 2.00-2.06
Ge 0.7911 0.7500 0.6100  3 N 2.00-2.06
H 0.2480 0.2500 0.8698  1 N 1.03
H 0.7520 0.7500 0.1302  1 N 1.03
N 0.0861 0.2500 0.6937  1 H 1.03
N 0.9139 0.7500 0.3063  1 H 1.03

Results
Offset from the most stable computed form = 0.374 kcal/mol of atoms
Raw total energy = -5.46 eV/atom
Total magnetic moment = 0.000 μB per atom
Space group = P2_1/m, No. 11

=====

5.
Here is crystalline PmMg2Cd2 at its relaxed geometry from Alexandria. Energies are from PBE.

Unit cell a=3.6140 b=3.6140 c=18.5071 alpha=90.00 beta=90.00 gamma=90.00
Last column: nearest neighbours and their distance in Å.
Positions (direct):
Pm 0.0000 0.0000 0.0000  8 Cd 3.34, 4 Pm 3.61, 2 Mg 3.73
Pm 0.5000 0.5000 0.5000  8 Cd 3.34, 4 Pm 3.61, 2 Mg 3.73
Mg 0.0000 0.0000 0.2016  4 Cd 3.00, 4 Mg 3.12
Mg 0.0000 0.0000 0.7984  4 Cd 3.00, 4 Mg 3.12
Mg 0.5000 0.5000 0.2984  4 Cd 3.00, 4 Mg 3.12
Mg 0.5000 0.5000 0.7016  4 Cd 3.00, 4 Mg 3.12
Cd 0.0000 0.0000 0.3837  4 Mg 3.00, 4 Pm 3.34
Cd 0.0000 0.0000 0.6163  4 Mg 3.00, 4 Pm 3.34
Cd 0.5000 0.5000 0.1163  4 Mg 3.00, 4 Pm 3.34
Cd 0.5000 0.5000 0.8837  4 Mg 3.00, 4 Pm 3.34

Results
Offset from the most stable computed form = 0.000 kcal/mol of atoms
Raw total energy = -2.16 eV/atom
Energy of formation = -0.20 eV per atom
Total magnetic moment = 0.046 μB per atom
Space group = I4/mmm, No. 139

=====

6.
Here is crystalline La2ErGaSe5 at its relaxed geometry from Alexandria. Energies are from PBE.

Unit cell a=9.2092 b=9.2092 c=12.6225 alpha=90.00 beta=90.00 gamma=154.24
Last column: nearest neighbours and their distance in Å.
Positions (direct):
La 0.1205 0.8795 0.5000  8 Se 3.09-3.25
La 0.1283 0.8717 0.8787  8 Se 3.08-3.28
La 0.8717 0.1283 0.3787  8 Se 3.08-3.28
La 0.8795 0.1205 0.0000  8 Se 3.09-3.25
Er 0.1896 0.8104 0.1944  6 Se 2.86-3.09, 2 Ga 3.01
Er 0.8104 0.1896 0.6944  6 Se 2.86-3.09, 2 Ga 3.01
Ga 0.4317 0.5683 0.6727  3 Se 2.52-2.56
Ga 0.5683 0.4317 0.1727  3 Se 2.52-2.56
Se 0.0286 0.9714 0.2803  2 Ga 2.56
Se 0.2925 0.7075 0.5267  2 Er 2.97, 1 Ga 3.11, 3 La 3.11-3.12
Se 0.3011 0.6989 0.8545  2 Er 2.89, 3 La 3.09-3.12
Se 0.3488 0.6512 0.1943  1 Er 2.86, 2 La 3.13
Se 0.4899 0.5101 0.4909  1 Ga 2.52
Se 0.5101 0.4899 0.9909  1 Ga 2.52
Se 0.6512 0.3488 0.6943  1 Er 2.86, 2 La 3.13
Se 0.6989 0.3011 0.3545  2 Er 2.89, 3 La 3.09-3.12
Se 0.7075 0.2925 0.0267  2 Er 2.97, 1 Ga 3.11, 3 La 3.11-3.12
Se 0.9714 0.0286 0.7803  2 Ga 2.56

Results
Raw total energy = -5.48 eV/atom
Formation energy without anion corrections = -14.44 eV per formula unit
Total magnetic moment = 0.000 μB per atom
Space group = Cmc2_1, No. 36

=====

7.
Here is crystalline CaIn3Rh at its relaxed geometry from Alexandria. Energies are from PBE.

Unit cell a=5.6632 b=5.6632 c=5.6632 alpha=90.00 beta=90.00 gamma=90.00
Last column: nearest neighbours and their distance in Å.
Positions (direct):
Ca 0.0000 0.0000 0.0000  6 In 2.83
In 0.0000 0.0000 0.5000  2 Ca 2.83
In 0.0000 0.5000 0.0000  2 Ca 2.83
In 0.5000 0.0000 0.0000  2 Ca 2.83
Rh 0.5000 0.5000 0.5000  12 In 4.00

Results
Offset from the most stable computed form = 38.938 kcal/mol of atoms
Raw total energy = -2.26 eV/atom
Energy of formation = 1.25 eV per atom
Total magnetic moment = 0.184 μB per atom
Space group = Pm-3m, No. 221

=====

8.
Here is crystalline SiPtN2F at its relaxed geometry from Alexandria. Energies are from PBE.

Unit cell a=3.7522 b=3.7522 c=5.4717 alpha=90.00 beta=90.00 gamma=90.00
Last column: nearest neighbours and their distance in Å.
Positions (direct):
Si 0.0000 0.0000 0.0000  4 F 2.65
Pt 0.5000 0.5000 0.5000  4 N 1.88
N 0.0000 0.5000 0.5000  2 Pt 1.88
N 0.5000 0.0000 0.5000  2 Pt 1.88
F 0.5000 0.5000 0.0000  4 Si 2.65, 2 Pt 2.74

Results
Offset from the most stable computed form = 19.271 kcal/mol of atoms
Raw total energy = -5.02 eV/atom
Formation energy without anion corrections = 4.90 eV per formula unit
Total magnetic moment = 0.000 μB per atom
Space group = P4/mmm, No. 123

=====

9.
Here is crystalline BaAc3Hg2 at its relaxed geometry from Alexandria. Energies are from PBE.

Unit cell a=5.5826 b=10.2749 c=8.1037 alpha=90.00 beta=90.00 gamma=90.00
Last column: nearest neighbours and their distance in Å.
Positions (direct):
Ba 0.0000 0.0681 0.0000  3 Hg 3.49-3.59
Ba 0.0000 0.9319 0.5000  3 Hg 3.49-3.59
Ac 0.0000 0.3342 0.6395  4 Hg 3.29-3.48
Ac 0.0000 0.6658 0.1395  4 Hg 3.29-3.48
Ac 0.5000 0.1750 0.3355  4 Hg 3.29-3.45
Ac 0.5000 0.4311 0.9721  3 Hg 3.46-3.59
Ac 0.5000 0.5689 0.4721  3 Hg 3.46-3.59
Ac 0.5000 0.8250 0.8355  4 Hg 3.29-3.45
Hg 0.0000 0.3545 0.2326  6 Ac 3.29-3.59, 1 Ba 3.49
Hg 0.0000 0.6455 0.7326  6 Ac 3.29-3.59, 1 Ba 3.49
Hg 0.5000 0.1483 0.7397  5 Ac 3.29-3.48, 2 Ba 3.59
Hg 0.5000 0.8517 0.2397  5 Ac 3.29-3.48, 2 Ba 3.59

Results
Raw total energy = -2.77 eV/atom
Energy of formation = -0.29 eV per atom
Total magnetic moment = 0.000 μB per atom
Space group = Pmc2_1, No. 26